Entry 1:
# Na3Cu4As4 PBE optimized geometry
# formation energy	-3.734	kcal/mol of atoms
# crystal system	cubic
data_Na3Cu4As4
_space_group_name_H-M_alt 'I -4 3 m'
_space_group_IT_number 217
_space_group_name_Hall 'I -4 2 3'
_cell_length_a 7.546
_cell_length_b 7.546
_cell_length_c 7.546
_cell_angle_alpha 90.00
_cell_angle_beta 90.00
_cell_angle_gamma 90.00
loop_
_atom_site_label
_atom_site_type_symbol
_atom_site_fract_x
_atom_site_fract_y
_atom_site_fract_z
Na1 Na 0.000 0.000 0.500
Cu1 Cu 0.134 0.134 0.866
As1 As 0.185 0.185 0.185

=====

Entry 2:
# Y2CuPb PBE optimized geometry
# formation energy	-2.828	kcal/mol of atoms
# crystal system	tetragonal
data_Y2CuPb
_space_group_name_H-M_alt 'P 4 m m'
_space_group_IT_number 99
_cell_length_a 3.509
_cell_length_b 3.509
_cell_length_c 8.451
_cell_angle_alpha 90.00
_cell_angle_beta 90.00
_cell_angle_gamma 90.00
loop_
_space_group_symop_operation_xyz
'x,y,z'
'-y,x,z'
'-x,-y,z'
'y,-x,z'
'-x,y,z'
'y,x,z'
'x,-y,z'
'-y,-x,z'
loop_
_atom_site_label
_atom_site_type_symbol
_atom_site_fract_x
_atom_site_fract_y
_atom_site_fract_z
Y1 Y 0.000 0.000 0.000
Y2 Y 0.500 0.500 0.320
Cu1 Cu 0.000 0.000 0.514
Pb1 Pb 0.500 0.500 0.717

=====

Entry 3:
# LiAsS3 PBE optimized geometry
# formation energy without anion corrections	0.1245	eV per atom
# crystal system	cubic
data_LiAsS3
_space_group_name_H-M_alt 'P m -3 m'
_space_group_IT_number 221
_space_group_name_Hall '-P 4 2 3'
_cell_length_a 4.773
_cell_length_b 4.773
_cell_length_c 4.773
_cell_angle_alpha 90.00
_cell_angle_beta 90.00
_cell_angle_gamma 90.00
loop_
_atom_site_label
_atom_site_type_symbol
_atom_site_fract_x
_atom_site_fract_y
_atom_site_fract_z
Li1 Li 0.000 0.000 0.000
As1 As 0.500 0.500 0.500
S1 S 0.000 0.500 0.500

=====

Entry 4:
# SrV3Ga PBE optimized geometry
# formation energy	54.200	kcal/mol of atoms
# crystal system	cubic
data_SrV3Ga
_space_group_name_H-M_alt 'P m -3 m'
_space_group_IT_number 221
_space_group_name_Hall '-P 4 2 3'
_cell_length_a 4.568
_cell_length_b 4.568
_cell_length_c 4.568
_cell_angle_alpha 90.00
_cell_angle_beta 90.00
_cell_angle_gamma 90.00
loop_
_atom_site_label
_atom_site_type_symbol
_atom_site_fract_x
_atom_site_fract_y
_atom_site_fract_z
Sr1 Sr 0.000 0.000 0.000
V1 V 0.000 0.000 0.500
Ga1 Ga 0.500 0.500 0.500

=====

Number 1: total moment 0.0000 μB per atom. Number 2: total moment 0.0001 μB per atom. Number 3: total moment 0.0000 μB per atom. Number 4: total moment 0.0004 μB per atom.